This record from Alexandria via LeMat-Bulk describes a crystal of SiRuRh2 relaxed with PBEsol. The functional is SCAN.

```
4
Lattice="2.723 0.000 0.000 0.000 3.876 0.000 -1.127 0.000 4.989" Properties=species:S:1:pos:R:3 pbc="T T T"
Si 0.000 0.000 0.000
Ru -0.563 0.000 2.494
Rh 0.769 1.938 1.205
Rh 0.828 1.938 3.784
```

Calculated values
SG: P2/m
E_form (uncorrected), eV/f.u.: -1.3
Final energy, eV/cell: -113.66

This record from Alexandria via LeMat-Bulk describes a crystal of SiRuRh2 relaxed with PBEsol. The functional is SCAN.

```
4
Lattice="1.364 0.788 8.147 -1.364 0.788 8.147 0.000 -1.575 8.147" Properties=species:S:1:pos:R:3 pbc="T T T"
Si 0.000 0.000 0.000
Ru 0.000 0.000 6.255
Rh 0.000 0.000 12.259
Rh 0.000 0.000 18.143
```

Calculated values
SG: R3m
E_form (uncorrected), eV/f.u.: -1.1
Final energy, eV/cell: -113.52

This record from Alexandria via LeMat-Bulk describes a crystal of SiRuRh relaxed with PBEsol. The functional is SCAN.

```
3
Lattice="0.000 2.853 2.853 2.853 0.000 2.853 2.853 2.853 0.000" Properties=species:S:1:pos:R:3 pbc="T T T"
Si 0.000 0.000 0.000
Ru 1.426 1.426 1.426
Rh 2.853 2.853 2.853
```

Calculated values
SG: F-43m
E_form (uncorrected), eV/f.u.: -0.1
Final energy, eV/cell: -78.69

This record from Alexandria via LeMat-Bulk describes a crystal of SiRuRh2 relaxed with PBEsol. The functional is SCAN.

```
4
Lattice="2.651 -3.642 0.000 2.651 3.642 0.000 0.000 0.000 2.703" Properties=species:S:1:pos:R:3 pbc="T T T"
Si 0.000 0.000 0.000
Ru 2.651 0.000 0.000
Rh 1.326 1.821 1.352
Rh 1.326 -1.821 1.352
```

Calculated values
SG: Cmmm
E_form (uncorrected), eV/f.u.: -1.2
Final energy, eV/cell: -113.60

This record from Alexandria via LeMat-Bulk describes a crystal of SiRuRh2 relaxed with PBEsol. The functional is SCAN.

```
4
Lattice="4.808 -1.394 0.000 4.808 1.394 0.000 -1.718 0.000 3.923" Properties=species:S:1:pos:R:3 pbc="T T T"
Si 0.000 0.000 0.000
Ru 6.495 0.000 0.903
Rh 1.371 0.000 3.096
Rh 3.916 0.000 1.963
```

Calculated values
SG: Cm
E_form (uncorrected), eV/f.u.: -1.6
Final energy, eV/cell: -114.00

This record from Alexandria via LeMat-Bulk describes a crystal of Si2RuRh relaxed with PBEsol. The functional is SCAN.

```
4
Lattice="1.410 0.814 7.519 -1.410 0.814 7.519 0.000 -1.628 7.519" Properties=species:S:1:pos:R:3 pbc="T T T"
Si 0.000 0.000 5.650
Si 0.000 0.000 16.906
Ru 0.000 0.000 0.000
Rh 0.000 0.000 11.278
```

Calculated values
SG: R-3m
E_form (uncorrected), eV/f.u.: -2.3
Final energy, eV/cell: -90.93

This record from Alexandria via LeMat-Bulk describes a crystal of SiRuRh2 relaxed with PBEsol. The functional is SCAN.

```
4
Lattice="2.723 0.000 0.000 0.000 3.590 0.000 0.000 0.000 5.364" Properties=species:S:1:pos:R:3 pbc="T T T"
Si 0.000 0.000 0.000
Ru 1.362 1.795 3.947
Rh 0.000 0.000 2.685
Rh 1.362 1.795 1.181
```

Calculated values
SG: Pmm2
E_form (uncorrected), eV/f.u.: -0.9
Final energy, eV/cell: -113.31

This record from Alexandria via LeMat-Bulk describes a crystal of SiRuRh2 relaxed with PBEsol. The functional is SCAN.

```
4
Lattice="1.362 0.786 8.154 -1.362 0.786 8.154 0.000 -1.573 8.154" Properties=species:S:1:pos:R:3 pbc="T T T"
Si 0.000 0.000 0.000
Ru 0.000 0.000 12.230
Rh 0.000 0.000 6.278
Rh 0.000 0.000 18.183
```

Calculated values
SG: R-3m
E_form (uncorrected), eV/f.u.: -1.1
Final energy, eV/cell: -113.53